1:
This record from the Alexandria database describes a geometry-optimized CoTcF2 structure. The functional is PBE with a Hubbard U.

Cell: 2.6786 2.6786 23.6785 Å, 90.00 90.00 120.00°
Space group R-3m (No. 166, hexagonal axes)
Inequivalent atoms, fractional coordinates:
Co 0.0000 0.0000 0.0000 [3 per cell]
Tc 0.0000 0.0000 0.5000 [3 per cell]
F 0.0000 0.0000 0.0773 [6 per cell]

2:
This record from the Alexandria database describes a geometry-optimized CoTcF2 structure. The functional is PBE with a Hubbard U.

Cell: 5.169 5.169 9.869 Å, 90.00 90.00 90.00°
Space group I-42d (No. 122)
Inequivalent atoms, fractional coordinates:
Co 0.000 0.000 0.000 [4 per cell]
Tc 0.000 0.000 0.500 [4 per cell]
F 0.180 0.250 0.125 [8 per cell]

In terms of stability, 1 leads; the second structure lies 291 meV per atom higher.

1:
This record from the Alexandria database describes a geometry-optimized CoTeF3 structure. The functional is PBE with a Hubbard U.

Cell: 4.600 4.600 4.600 Å, 90.00 90.00 90.00°
Space group Pm-3m (No. 221)
Inequivalent atoms, fractional coordinates:
Co 0.000 0.000 0.000 [1 per cell]
Te 0.500 0.500 0.500 [1 per cell]
F 0.000 0.500 0.500 [3 per cell]

2:
This record from the Alexandria database describes a geometry-optimized CoTeF3 structure. The functional is PBE with a Hubbard U.

Cell: 4.217 4.217 4.217 Å, 90.00 90.00 90.00°
Space group Pm-3m (No. 221)
Inequivalent atoms, fractional coordinates:
Co 0.000 0.000 0.000 [1 per cell]
Te 0.500 0.500 0.500 [1 per cell]
F 0.000 0.000 0.500 [3 per cell]

In terms of stability, 2 leads; the second structure lies 396 meV per atom higher.

1:
This record from the Alexandria database describes a geometry-optimized TiCoF3 structure. The functional is PBE with a Hubbard U.

Cell: 4.075 4.075 4.075 Å, 90.00 90.00 90.00°
Space group Pm-3m (No. 221)
Inequivalent atoms, fractional coordinates:
Ti 0.000 0.000 0.000 [1 per cell]
Co 0.500 0.500 0.500 [1 per cell]
F 0.000 0.000 0.500 [3 per cell]

2:
This record from the Alexandria database describes a geometry-optimized TiCoF3 structure. The functional is PBE with a Hubbard U.

Cell: 4.057 4.057 4.057 Å, 90.00 90.00 90.00°
Space group Pm-3m (No. 221)
Inequivalent atoms, fractional coordinates:
Ti 0.000 0.000 0.000 [1 per cell]
Co 0.500 0.500 0.500 [1 per cell]
F 0.000 0.500 0.500 [3 per cell]

In terms of stability, 1 leads; the second structure lies 418 meV per atom higher.

1:
This record from the Alexandria database describes a geometry-optimized TiCo3F structure. The functional is PBE with a Hubbard U.

Cell: 4.106 4.106 4.106 Å, 90.00 90.00 90.00°
Space group Pm-3m (No. 221)
Inequivalent atoms, fractional coordinates:
Ti 0.000 0.000 0.000 [1 per cell]
Co 0.000 0.500 0.500 [3 per cell]
F 0.500 0.500 0.500 [1 per cell]

2:
This record from the Alexandria database describes a geometry-optimized TiCo3F structure. The functional is PBE with a Hubbard U.

Cell: 4.370 4.370 4.370 Å, 90.00 90.00 90.00°
Space group Pm-3m (No. 221)
Inequivalent atoms, fractional coordinates:
Ti 0.000 0.000 0.000 [1 per cell]
Co 0.000 0.000 0.500 [3 per cell]
F 0.500 0.500 0.500 [1 per cell]

In terms of stability, 1 leads; the second structure lies 900 meV per atom higher.

1:
This record from the Alexandria database describes a geometry-optimized Ti2CoF structure. The functional is PBE with a Hubbard U.

Cell: 5.920 5.920 5.920 Å, 90.00 90.00 90.00°
Space group Fm-3m (No. 225)
Inequivalent atoms, fractional coordinates:
Ti 0.250 0.250 0.250 [8 per cell]
Co 0.000 0.000 0.000 [4 per cell]
F 0.000 0.000 0.500 [4 per cell]

2:
This record from the Alexandria database describes a geometry-optimized Ti2CoF structure. The functional is PBE with a Hubbard U.

Cell: 4.892 4.892 10.297 Å, 90.00 90.00 90.00°
Space group I-42d (No. 122)
Inequivalent atoms, fractional coordinates:
Ti 0.223 0.250 0.125 [8 per cell]
Co 0.000 0.000 0.500 [4 per cell]
F 0.000 0.000 0.000 [4 per cell]

In terms of stability, 2 leads; the second structure lies 163 meV per atom higher.

1:
This record from the Alexandria database describes a geometry-optimized TiCo2F structure. The functional is PBE with a Hubbard U.

Cell: 6.034 6.034 6.034 Å, 90.00 90.00 90.00°
Space group Fm-3m (No. 225)
Inequivalent atoms, fractional coordinates:
Ti 0.000 0.000 0.000 [4 per cell]
Co 0.250 0.250 0.250 [8 per cell]
F 0.000 0.000 0.500 [4 per cell]

2:
This record from the Alexandria database describes a geometry-optimized TiCo2F structure. The functional is PBE with a Hubbard U.

Cell: 6.854 6.854 4.643 Å, 90.00 90.00 90.00°
Space group I-42d (No. 122)
Inequivalent atoms, fractional coordinates:
Ti 0.000 0.000 0.000 [4 per cell]
Co 0.214 0.250 0.625 [8 per cell]
F 0.000 0.000 0.500 [4 per cell]

In terms of stability, 2 leads; the second structure lies 461 meV per atom higher.

1:
This record from the Alexandria database describes a geometry-optimized TlCo3F structure. The functional is PBE with a Hubbard U.

Cell: 4.277 4.277 4.277 Å, 90.00 90.00 90.00°
Space group Pm-3m (No. 221)
Inequivalent atoms, fractional coordinates:
Tl 0.000 0.000 0.000 [1 per cell]
Co 0.000 0.500 0.500 [3 per cell]
F 0.500 0.500 0.500 [1 per cell]

2:
This record from the Alexandria database describes a geometry-optimized TlCo3F structure. The functional is PBE with a Hubbard U.

Cell: 5.032 5.032 5.032 Å, 90.00 90.00 90.00°
Space group Pm-3m (No. 221)
Inequivalent atoms, fractional coordinates:
Tl 0.000 0.000 0.000 [1 per cell]
Co 0.000 0.000 0.500 [3 per cell]
F 0.500 0.500 0.500 [1 per cell]

In terms of stability, 1 leads; the second structure lies 1211 meV per atom higher.

1:
This record from the Alexandria database describes a geometry-optimized V3CoF structure. The functional is PBE with a Hubbard U.

Cell: 4.341 4.341 4.341 Å, 90.00 90.00 90.00°
Space group Pm-3m (No. 221)
Inequivalent atoms, fractional coordinates:
V 0.000 0.000 0.500 [3 per cell]
Co 0.500 0.500 0.500 [1 per cell]
F 0.000 0.000 0.000 [1 per cell]

2:
This record from the Alexandria database describes a geometry-optimized V3CoF structure. The functional is PBE with a Hubbard U.

Cell: 4.642 4.642 4.642 Å, 90.00 90.00 90.00°
Space group Pm-3m (No. 221)
Inequivalent atoms, fractional coordinates:
V 0.000 0.000 0.500 [3 per cell]
Co 0.000 0.000 0.000 [1 per cell]
F 0.500 0.500 0.500 [1 per cell]

In terms of stability, 1 leads; the second structure lies 564 meV per atom higher.